[1]
The following is a GGA-PBE calculation of an optimized crystal structure of KLaMg2, from Alexandria.

The offset from the most stable computed form comes out at 0.30 eV per formula unit. The crystal system is trigonal. As for the density of states at the Fermi level: 3.157 states/eV/f.u.

The structure belongs to space group R-3m (No. 166, hexagonal axes); the cell edges are 3.6217, 3.6217 and 36.5416 Å and the angles 90.00°, 90.00° and 120.00°. The asymmetric unit holds K at (0.0000, 0.0000, 0.0000), La at (0.0000, 0.0000, 0.5000) and Mg at (0.0000, 0.0000, 0.2447).

***

[2]
The following is a GGA-PBE calculation of an optimized crystal structure of KLaMg, from Alexandria.

The crystal system is trigonal. As for the density of states at the Fermi level: 2.931 states/eV/f.u.

The structure belongs to space group P3m1 (No. 156); the cell edges are 3.7391, 3.7391 and 9.6529 Å and the angles 90.00°, 90.00° and 120.00°. The asymmetric unit holds K at (0.0000, 0.0000, 0.0000), La at (0.6667, 0.3333, 0.3918) and Mg at (0.3333, 0.6667, 0.6659).

***

[3]
The following is a GGA-PBE calculation of an optimized crystal structure of KLaMg2, from Alexandria.

The offset from the most stable computed form comes out at 0.00 eV per formula unit. The crystal system is tetragonal. As for the density of states at the Fermi level: 3.915 states/eV/f.u.

The structure belongs to space group P4/mmm (No. 123); the cell edges are 4.0275, 4.0275 and 8.9597 Å and the angles 90.00°, 90.00° and 90.00°. The asymmetric unit holds K at (0.0000, 0.0000, 0.0000), La at (0.0000, 0.0000, 0.5000) and Mg at (0.5000, 0.5000, 0.2896).

***

[4]
The following is a GGA-PBE calculation of an optimized crystal structure of KLaMg2, from Alexandria.

The offset from the most stable computed form comes out at 0.55 eV per formula unit. The crystal system is cubic. As for the density of states at the Fermi level: 1.502 states/eV/f.u.

The structure belongs to space group F-43m (No. 216); the cell edges are 7.9770, 7.9770 and 7.9770 Å and the angles 90.00°, 90.00° and 90.00°. The asymmetric unit holds K at (0.0000, 0.0000, 0.0000), La at (0.2500, 0.2500, 0.2500), Mg at (0.0000, 0.0000, 0.5000) and Mg at (0.2500, 0.2500, 0.7500).

***

[5]
The following is a GGA-PBE calculation of an optimized crystal structure of KLaMg6, from Alexandria.

The offset from the most stable computed form comes out at 0.00 eV per formula unit. The crystal system is orthorhombic. As for the density of states at the Fermi level: 5.341 states/eV/f.u.

The structure belongs to space group Amm2 (No. 38); the cell edges are 5.3444, 7.1417 and 12.2407 Å and the angles 90.00°, 90.00° and 90.00°. The asymmetric unit holds K at (0.0000, 0.0000, 0.0000), La at (0.5000, 0.0000, 0.3274), Mg at (0.0000, 0.0000, 0.4994), Mg at (0.0000, 0.2379, 0.7453), Mg at (0.5000, 0.0000, 0.8144) and Mg at (0.5000, 0.2197, 0.5875).

***

[6]
The following is a GGA-PBE calculation of an optimized crystal structure of KLaMg2, from Alexandria.

The offset from the most stable computed form comes out at 1.46 eV per formula unit. The crystal system is tetragonal. As for the density of states at the Fermi level: 4.883 states/eV/f.u.

The structure belongs to space group I-42d (No. 122); the cell edges are 9.1816, 9.1816 and 7.0586 Å and the angles 90.00°, 90.00° and 90.00°. The asymmetric unit holds K at (0.0000, 0.0000, 0.0000), La at (0.0000, 0.0000, 0.5000) and Mg at (0.2436, 0.2500, 0.6250).

***

[7]
The following is a GGA-PBE calculation of an optimized crystal structure of KLaMg2, from Alexandria.

The offset from the most stable computed form comes out at 0.18 eV per formula unit. The crystal system is tetragonal. As for the density of states at the Fermi level: 3.647 states/eV/f.u.

The structure belongs to space group P4mm (No. 99); the cell edges are 3.6038, 3.6038 and 10.8784 Å and the angles 90.00°, 90.00° and 90.00°. The asymmetric unit holds K at (0.0000, 0.0000, 0.0000), La at (0.5000, 0.5000, 0.3460), Mg at (0.0000, 0.0000, 0.5576) and Mg at (0.5000, 0.5000, 0.7220).

***

[8]
The following is a GGA-PBE calculation of an optimized crystal structure of K2LaMg, from Alexandria.

The crystal system is tetragonal. As for the density of states at the Fermi level: 6.076 states/eV/f.u.

The structure belongs to space group P4/mmm (No. 123); the cell edges are 4.6414, 4.6414 and 8.2357 Å and the angles 90.00°, 90.00° and 90.00°. The asymmetric unit holds K at (0.0000, 0.0000, 0.2224), La at (0.5000, 0.5000, 0.5000) and Mg at (0.5000, 0.5000, 0.0000).

***

Number 1: density 2.720 g/cm³, DFT total energy -2.12 eV per atom, energy of formation 4.1 kcal/mol of atoms. Number 2: density 2.874 g/cm³, DFT total energy -2.31 eV per atom, energy of formation 5.3 kcal/mol of atoms. Number 3: density 2.589 g/cm³, DFT total energy -2.20 eV per atom, energy of formation 2.4 kcal/mol of atoms. Number 4: density 2.965 g/cm³, DFT total energy -2.06 eV per atom, energy of formation 5.6 kcal/mol of atoms. Number 5: density 2.302 g/cm³, DFT total energy -1.87 eV per atom, energy of formation 1.7 kcal/mol of atoms. Number 6: density 2.530 g/cm³, DFT total energy -1.83 eV per atom, energy of formation 10.8 kcal/mol of atoms. Number 7: density 2.663 g/cm³, DFT total energy -2.15 eV per atom, energy of formation 3.5 kcal/mol of atoms. Number 8: density 2.259 g/cm³, DFT total energy -1.70 eV per atom, energy of formation 11.1 kcal/mol of atoms.